# 1
Density functional theory data (PBE-GGA) for crystalline LiTaSiOs at its relaxed geometry.

POSCAR file:
```
LiTaSiOs
1.0
4.034 1.210 0.574
1.003 2.600 3.210
2.209 -1.474 3.319
Ta Li Os Si
1 1 1 1
direct
0.500 0.500 0.500
0.750 0.750 0.750
0.000 0.000 0.000
0.250 0.250 0.250
```

Results
The value obtained for the energy above the most stable polymorph in this dataset is 0.458 eV/atom. The value obtained for the total energy is -7.61 eV/atom. Its symmetry is F-43m, No. 216.

***

# 2
Density functional theory data (PBE-GGA) for crystalline LiTaSiOs at its relaxed geometry.

POSCAR file:
```
LiTaSiOs
1.0
0.000 3.033 3.033
3.033 0.000 3.033
3.033 3.033 0.000
Ta Os Li Si
1 1 1 1
direct
0.500 0.500 0.500
0.250 0.250 0.250
0.750 0.750 0.750
0.000 0.000 0.000
```

Results
The value obtained for the energy above the most stable polymorph in this dataset is 0.000 eV/atom. The value obtained for the total energy is -8.07 eV/atom. Its symmetry is F-43m, No. 216.

***

# 3
Density functional theory data (PBE-GGA) for crystalline LiTaSiOs at its relaxed geometry.

POSCAR file:
```
LiTaSiOs
1.0
0.000 3.055 3.055
3.055 0.000 3.055
3.055 3.055 0.000
Li Ta Si Os
1 1 1 1
direct
0.750 0.750 0.750
0.250 0.250 0.250
0.000 0.000 0.000
0.500 0.500 0.500
```

Results
The value obtained for the energy above the most stable polymorph in this dataset is 0.274 eV/atom. The value obtained for the total energy is -7.80 eV/atom. Its symmetry is F-43m, No. 216.

***

Look up the total energy of the first one.
-7.61 eV/atom